Entry 1:
A relaxed B3IrRu crystal, computed with PBE-GGA.

Output
**Energy above the most stable polymorph in this dataset**: 159 meV/atom
**Formation enthalpy at 0 K**: 1.4400 eV per atom
**Uncorrected energy**: -30.969 eV/cell

a = 3.9573 Å, b = 3.9573 Å, c = 3.9573 Å
α = 90.00°, β = 90.00°, γ = 90.00°
Sites, in units of the cell vectors:
Ru1 0.0000 0.0000 0.0000
B1 0.0000 0.5000 0.0000
B2 0.0000 0.0000 0.5000
B3 0.5000 0.0000 0.0000
Ir1 0.5000 0.5000 0.5000


Entry 2:
A relaxed B2Ir2Ru crystal, computed with PBE-GGA.

Output
**Energy above the most stable polymorph in this dataset**: 0 meV/atom
**Formation enthalpy at 0 K**: 0.0738 eV per atom
**Uncorrected energy**: -79.967 eV/cell

a = 6.4194 Å, b = 6.4194 Å, c = 2.6970 Å
α = 90.00°, β = 90.00°, γ = 90.00°
Sites, in units of the cell vectors:
Ru1 0.0000 0.0000 0.0000
Ru2 0.5000 0.5000 0.0000
B1 0.3482 0.8482 0.0000
B2 0.8482 0.6518 0.0000
B3 0.6518 0.1518 0.0000
B4 0.1518 0.3482 0.0000
Ir1 0.1534 0.6534 0.5000
Ir2 0.6534 0.8466 0.5000
Ir3 0.8466 0.3466 0.5000
Ir4 0.3466 0.1534 0.5000